DFT (GGA-PBE) results for a relaxed RbMgIn5 crystal.

The calculation puts the energy relative to the elements at -0.0693 eV per atom. As for the total magnetic moment: 0.0 μB/f.u.

The structure belongs to space group P4/mmm (No. 123); the cell edges are 4.502, 4.502 and 11.094 Å and the angles 90.00°, 90.00° and 90.00°. The asymmetric unit holds Rb at (0.000, 0.000, 0.000), Mg at (0.000, 0.000, 0.500), In at (0.000, 0.500, 0.283) and In at (0.500, 0.500, 0.500).